A) A plane-wave DFT calculation with PBE-GGA was carried out for crystalline Cr2Br at its relaxed geometry.

a b c (Å): 9.3435 9.3435 3.8992
angles (deg): 90.00 90.00 158.68
Last column: nearest neighbours and their distance in Å.
Fractional coordinates of all 6 atoms:
Cr  0.0493  0.9507  0.7500  8 Cr 2.59-2.66, 2 Br 2.60
Cr  0.4445  0.5555  0.7500  8 Cr 2.59-2.82, 2 Br 2.67
Cr  0.5555  0.4445  0.2500  8 Cr 2.59-2.82, 2 Br 2.67
Cr  0.9507  0.0493  0.2500  8 Cr 2.59-2.66, 2 Br 2.60
Br  0.3451  0.6549  0.2500  4 Cr 2.60-2.67
Br  0.6549  0.3451  0.7500  4 Cr 2.60-2.67

Results
As for the symmetry: Cmcm (63). For the density of states at the Fermi level, the calculation gives 0.70 states/eV/f.u.

***

B) A plane-wave DFT calculation with PBE-GGA was carried out for crystalline Cr2Br at its relaxed geometry.

a b c (Å): 5.4651 5.4651 5.4651
angles (deg): 148.46 148.46 45.20
Last column: nearest neighbours and their distance in Å.
Fractional coordinates of all 3 atoms:
Cr  0.1900  0.1900  0.0000  4 Cr 2.42
Cr  0.8100  0.8100  0.0000  4 Cr 2.42
Br  0.5000  0.5000  0.0000  10 Cr 2.84-3.13, 4 Br 2.97

Results
As for the symmetry: I4/mmm (139). For the density of states at the Fermi level, the calculation gives 3.02 states/eV/f.u.

***

Most stable one: A), least stable one: B).

***

A) A plane-wave DFT calculation with PBE-GGA was carried out for crystalline CsCrBr2 at its relaxed geometry.

a b c (Å): 7.2364 7.2364 7.2364
angles (deg): 109.95 109.95 108.51
Last column: nearest neighbours and their distance in Å.
Fractional coordinates of all 8 atoms:
Cs  0.0000  0.0000  0.0000  8 Br 3.71-4.00
Cs  0.7500  0.2500  0.5000  8 Br 3.71-4.00
Cr  0.2500  0.7500  0.5000  4 Br 2.65
Cr  0.5000  0.5000  0.0000  4 Br 2.65
Br  0.2220  0.6250  0.0970  2 Cr 2.65
Br  0.3750  0.4720  0.5970  2 Cr 2.65
Br  0.5280  0.1250  0.9030  2 Cr 2.65
Br  0.8750  0.7780  0.4030  2 Cr 2.65

Results
As for the symmetry: I-42d (122). For the density of states at the Fermi level, the calculation gives 0.00 states/eV/f.u.

***

B) A plane-wave DFT calculation with PBE-GGA was carried out for crystalline CsCrBr2 at its relaxed geometry.

a b c (Å): 5.6954 5.6954 5.6954
angles (deg): 60.00 60.00 60.00
Last column: nearest neighbours and their distance in Å.
Fractional coordinates of all 4 atoms:
Cs  0.0000  0.0000  0.0000  8 Br 3.49
Cr  0.5000  0.5000  0.5000  8 Br 3.49
Br  0.2500  0.2500  0.2500  4 Cr 3.49, 4 Cs 3.49
Br  0.7500  0.7500  0.7500  4 Cr 3.49, 4 Cs 3.49

Results
As for the symmetry: Fm-3m (225). For the density of states at the Fermi level, the calculation gives 6.64 states/eV/f.u.

***

Most stable one: A), least stable one: B).

***

A) A plane-wave DFT calculation with PBE-GGA was carried out for crystalline CsCrBr3 at its relaxed geometry.

a b c (Å): 5.3692 5.3692 5.3692
angles (deg): 90.00 90.00 90.00
Last column: nearest neighbours and their distance in Å.
Fractional coordinates of all 5 atoms:
Cs  0.0000  0.0000  0.0000  12 Br 3.80
Cr  0.5000  0.5000  0.5000  6 Br 2.68
Br  0.0000  0.5000  0.5000  2 Cr 2.68
Br  0.5000  0.0000  0.5000  2 Cr 2.68
Br  0.5000  0.5000  0.0000  2 Cr 2.68

Results
As for the symmetry: Pm-3m (221). For the density of states at the Fermi level, the calculation gives 1.32 states/eV/f.u.

***

B) A plane-wave DFT calculation with PBE-GGA was carried out for crystalline CsCrBr3 at its relaxed geometry.

a b c (Å): 9.8527 4.2866 16.1448
angles (deg): 90.00 90.00 90.00
Last column: nearest neighbours and their distance in Å.
Fractional coordinates of all 20 atoms:
Cs  0.0597  0.2500  0.1712  8 Br 3.66-3.94
Cs  0.4403  0.7500  0.6712  8 Br 3.66-3.94
Cs  0.5597  0.2500  0.3288  8 Br 3.66-3.94
Cs  0.9403  0.7500  0.8288  8 Br 3.66-3.94
Cr  0.1570  0.7500  0.4532  4 Br 2.52-2.72
Cr  0.3430  0.2500  0.9532  4 Br 2.52-2.72
Cr  0.6570  0.7500  0.0468  4 Br 2.52-2.72
Cr  0.8430  0.2500  0.5468  4 Br 2.52-2.72
Br  0.0278  0.7500  0.5906  1 Cr 2.56
Br  0.1922  0.7500  0.0009  2 Cr 2.72
Br  0.2426  0.2500  0.8096  1 Cr 2.52
Br  0.2574  0.7500  0.3096  1 Cr 2.52
Br  0.3078  0.2500  0.5009  2 Cr 2.72
Br  0.4722  0.2500  0.0906  1 Cr 2.56
Br  0.5278  0.7500  0.9094  1 Cr 2.56
Br  0.6922  0.7500  0.4991  2 Cr 2.72
Br  0.7426  0.2500  0.6904  1 Cr 2.52
Br  0.7574  0.7500  0.1904  1 Cr 2.52
Br  0.8078  0.2500  0.9991  2 Cr 2.72
Br  0.9722  0.2500  0.4094  1 Cr 2.56

Results
As for the symmetry: Pnma (62). For the density of states at the Fermi level, the calculation gives 2.25 states/eV/f.u.

***

Most stable one: A), least stable one: B).